Entry 1:
This record from the Alexandria database describes AsP2AuO8 after structural relaxation. The functional is GGA-PBE.

The structure in POSCAR format:
```
AsP2AuO8
1.0
4.734 -0.086 -0.529
2.107 4.240 -0.529
-0.498 -0.303 8.729
As Au O P
1 1 8 2
direct
0.000 0.000 0.000
0.000 0.000 0.500
0.787 0.787 0.044
0.778 0.778 0.344
0.814 0.317 0.154
0.186 0.683 0.846
0.213 0.213 0.956
0.317 0.814 0.154
0.683 0.186 0.846
0.222 0.222 0.656
0.685 0.685 0.178
0.315 0.315 0.822
```

Crystal system   monoclinic
E_tot   -6.34 eV/atom
Space-group type   C2/m (12)

=====

Entry 2:
This record from the Alexandria database describes PaAs2AuO8 after structural relaxation. The functional is GGA-PBE.

The structure in POSCAR format:
```
PaAs2AuO8
1.0
6.209 0.000 0.000
3.105 5.261 0.424
3.105 2.436 6.068
O Pa As Au
8 1 2 1
direct
0.659 0.493 0.190
0.598 0.069 0.185
0.131 0.532 0.206
0.402 0.931 0.815
0.148 0.069 0.185
0.852 0.931 0.815
0.341 0.507 0.810
0.869 0.468 0.794
0.000 0.000 0.000
0.691 0.712 0.906
0.309 0.288 0.094
0.500 0.500 0.500
```

Crystal system   monoclinic
E_tot   -6.72 eV/atom
Space-group type   C2/m (12)

=====

Entry 3:
This record from the Alexandria database describes As2PbAuO8 after structural relaxation. The functional is GGA-PBE.

The structure in POSCAR format:
```
As2PbAuO8
1.0
-0.283 -1.014 -4.867
-3.045 -3.590 -1.622
-7.074 3.878 -2.944
O Pb As Au
8 1 2 1
direct
0.446 0.113 0.678
0.763 0.446 0.678
0.683 0.683 0.950
0.237 0.887 0.322
0.113 0.763 0.678
0.887 0.554 0.322
0.317 0.317 0.050
0.554 0.237 0.322
0.000 0.000 0.000
0.754 0.754 0.738
0.246 0.246 0.262
0.500 0.500 0.500
```

Crystal system   trigonal
E_tot   -5.32 eV/atom
Space-group type   R32 (155)

=====

Entry 4:
This record from the Alexandria database describes PmAs2AuO8 after structural relaxation. The functional is GGA-PBE.

The structure in POSCAR format:
```
PmAs2AuO8
1.0
6.066 0.086 0.000
-2.613 5.475 0.000
-1.727 -2.781 5.108
O Au As Pm
8 1 2 1
direct
0.920 0.601 0.681
0.920 0.238 0.319
0.321 0.143 0.822
0.857 0.679 0.178
0.399 0.080 0.319
0.321 0.499 0.178
0.762 0.080 0.681
0.501 0.679 0.822
0.250 0.750 0.500
0.750 0.250 0.500
0.500 0.500 0.000
0.000 0.000 0.000
```

Crystal system   tetragonal
E_tot   -6.03 eV/atom
Space-group type   I-4m2 (119)

=====

Entry 5:
This record from the Alexandria database describes PuAsAuO6 after structural relaxation. The functional is GGA-PBE.

The structure in POSCAR format:
```
PuAsAuO6
1.0
5.381 0.000 0.000
-2.691 4.660 0.000
0.000 0.000 9.626
Pu As O Au
2 2 12 2
direct
0.333 0.667 0.750
0.667 0.333 0.250
0.333 0.667 0.250
0.667 0.333 0.750
0.616 0.650 0.140
0.616 0.967 0.360
0.384 0.350 0.860
0.350 0.967 0.140
0.033 0.650 0.360
0.384 0.033 0.640
0.967 0.350 0.640
0.033 0.384 0.140
0.650 0.616 0.640
0.967 0.616 0.860
0.350 0.384 0.360
0.650 0.033 0.860
0.000 0.000 0.000
0.000 0.000 0.500
```

Crystal system   trigonal
E_tot   -7.07 eV/atom
Space-group type   P-31c (163)

=====

Entry 6:
This record from the Alexandria database describes PuAsAuO after structural relaxation. The functional is GGA-PBE.

The structure in POSCAR format:
```
PuAsAuO
1.0
4.042 0.000 0.000
0.000 4.042 0.000
0.000 0.000 8.707
O Au Pu As
2 2 2 2
direct
0.000 0.000 0.500
0.500 0.500 0.500
0.500 0.500 0.000
0.000 0.000 0.000
0.000 0.500 0.366
0.500 0.000 0.634
0.500 0.000 0.207
0.000 0.500 0.793
```

Crystal system   tetragonal
E_tot   -8.22 eV/atom
Space-group type   P4/nmm (129)

=====

Entry 7:
This record from the Alexandria database describes RbAs2AuO8 after structural relaxation. The functional is GGA-PBE.

The structure in POSCAR format:
```
RbAs2AuO8
1.0
-1.113 -4.317 2.859
3.887 -3.294 1.445
2.110 2.201 9.049
O As Rb Au
8 2 1 1
direct
0.512 0.131 0.653
0.869 0.488 0.347
0.703 0.703 0.890
0.488 0.295 0.347
0.295 0.869 0.347
0.297 0.297 0.110
0.131 0.705 0.653
0.705 0.512 0.653
0.765 0.765 0.704
0.235 0.235 0.296
0.000 0.000 0.000
0.500 0.500 0.500
```

Crystal system   trigonal
E_tot   -5.16 eV/atom
Space-group type   R32 (155)

=====

Entry 8:
This record from the Alexandria database describes Rb8AsAu2O after structural relaxation. The functional is GGA-PBE.

The structure in POSCAR format:
```
Rb8AsAu2O
1.0
-3.059 -7.146 0.732
3.530 -0.852 6.960
-7.881 3.833 4.470
Rb O As Au
8 1 1 2
direct
0.160 0.808 0.216
0.840 0.192 0.216
0.840 0.192 0.784
0.266 0.228 0.000
0.160 0.808 0.784
0.676 0.716 0.500
0.324 0.284 0.500
0.734 0.772 0.000
0.000 0.000 0.000
0.000 0.000 0.500
0.500 0.500 0.784
0.500 0.500 0.216
```

Crystal system   monoclinic
E_tot   -2.38 eV/atom
Space-group type   P2/m (10)

=====

Entry 9:
This record from the Alexandria database describes AsAu2SO after structural relaxation. The functional is GGA-PBE.

The structure in POSCAR format:
```
AsAu2SO
1.0
-0.258 -0.914 3.941
3.578 -5.580 -1.059
3.420 2.059 0.701
Au As O S
2 1 1 1
direct
0.000 0.000 0.500
0.500 0.000 0.000
0.500 0.500 0.500
0.000 0.000 0.000
0.000 0.500 0.000
```

Crystal system   tetragonal
E_tot   -3.40 eV/atom
Space-group type   P4/mmm (123)

=====

Entry 10:
This record from the Alexandria database describes Sm10As8Au3O10 after structural relaxation. The functional is GGA-PBE.

The structure in POSCAR format:
```
Sm10As8Au3O10
1.0
-0.734 2.877 9.278
7.451 -5.288 3.379
0.687 6.134 -7.537
O As Sm Au
10 8 10 3
direct
0.250 0.750 0.500
0.451 0.354 0.298
0.750 0.250 0.500
0.944 0.847 0.298
0.847 0.549 0.903
0.549 0.646 0.702
0.056 0.153 0.702
0.646 0.944 0.097
0.153 0.451 0.097
0.354 0.056 0.903
0.728 0.590 0.318
0.249 0.129 0.378
0.871 0.249 0.119
0.410 0.728 0.139
0.129 0.751 0.881
0.272 0.410 0.682
0.590 0.272 0.861
0.751 0.871 0.622
0.276 0.471 0.395
0.924 0.120 0.395
0.529 0.924 0.805
0.471 0.076 0.195
0.335 0.335 0.000
0.665 0.665 0.000
0.880 0.276 0.805
0.724 0.529 0.605
0.076 0.880 0.605
0.120 0.724 0.195
0.000 0.000 0.000
0.000 0.500 0.500
0.500 0.000 0.500
```

Crystal system   tetragonal
E_tot   -6.87 eV/atom
Space-group type   I4/m (87)

=====

Entry 11:
This record from the Alexandria database describes Sr4AsAuO after structural relaxation. The functional is GGA-PBE.

The structure in POSCAR format:
```
Sr4AsAuO
1.0
-4.357 -4.323 3.513
3.414 -5.546 -2.591
7.203 2.277 4.616
Au O As Sr
2 2 2 8
direct
0.114 0.250 0.229
0.886 0.750 0.771
0.755 0.250 0.511
0.245 0.750 0.489
0.380 0.250 0.760
0.620 0.750 0.240
0.572 0.250 0.143
0.921 0.250 0.841
0.000 0.000 0.500
0.428 0.750 0.857
0.079 0.750 0.159
0.000 0.500 0.500
0.500 0.500 0.500
0.500 0.000 0.500
```

Crystal system   orthorhombic
E_tot   -4.14 eV/atom
Space-group type   Cmcm (63)

=====

Entry 12:
This record from the Alexandria database describes Sr5As2AuO after structural relaxation. The functional is GGA-PBE.

The structure in POSCAR format:
```
Sr5As2AuO
1.0
-1.299 1.533 -4.388
7.629 -5.111 -1.390
-6.719 -9.654 -1.384
Sr As O Au
10 4 2 2
direct
0.642 0.284 0.508
0.461 0.922 0.722
0.539 0.078 0.222
0.358 0.716 0.008
0.258 0.516 0.701
0.742 0.484 0.201
0.640 0.280 0.890
0.360 0.720 0.390
0.997 0.994 0.955
0.003 0.006 0.455
0.914 0.829 0.200
0.824 0.648 0.839
0.176 0.352 0.339
0.086 0.171 0.700
0.489 0.978 0.924
0.511 0.022 0.424
0.847 0.695 0.584
0.153 0.305 0.084
```

Crystal system   orthorhombic
E_tot   -4.22 eV/atom
Space-group type   Cmc2_1 (36)

=====

Entry 13:
This record from the Alexandria database describes TaAs2AuO after structural relaxation. The functional is GGA-PBE.

The structure in POSCAR format:
```
TaAs2AuO
1.0
4.857 0.000 0.000
0.000 5.228 0.000
0.000 0.000 4.857
Au Ta O As
1 1 1 2
direct
0.000 0.000 0.000
0.000 0.500 0.000
0.500 0.500 0.500
0.000 0.000 0.500
0.500 0.000 0.000
```

Crystal system   tetragonal
E_tot   -4.11 eV/atom
Space-group type   P4/mmm (123)

=====

Entry 14:
This record from the Alexandria database describes TeAs2AuO after structural relaxation. The functional is GGA-PBE.

The structure in POSCAR format:
```
TeAs2AuO
1.0
4.256 0.000 0.000
0.000 5.429 0.000
0.000 0.000 4.256
O Au As Te
1 1 2 1
direct
0.000 0.000 0.000
0.500 0.500 0.500
0.000 0.000 0.500
0.500 0.000 0.000
0.000 0.500 0.000
```

Crystal system   tetragonal
E_tot   -3.76 eV/atom
Space-group type   P4/mmm (123)

=====

Entry 15:
This record from the Alexandria database describes Ti2AsAuO after structural relaxation. The functional is GGA-PBE.

The structure in POSCAR format:
```
Ti2AsAuO
1.0
-0.869 -2.106 -3.289
1.518 -4.056 2.196
-3.700 -0.635 1.384
O Au As Ti
1 1 1 2
direct
0.000 0.000 0.000
0.500 0.500 0.500
0.000 0.500 0.000
0.500 0.000 0.000
0.000 0.000 0.500
```

Crystal system   tetragonal
E_tot   -6.52 eV/atom
Space-group type   P4/mmm (123)

=====

Entry 16:
This record from the Alexandria database describes Y2AsAuO after structural relaxation. The functional is GGA-PBE.

The structure in POSCAR format:
```
Y2AsAuO
1.0
-1.916 3.235 3.853
-2.355 -3.623 1.871
4.250 -1.166 3.092
As O Y Au
1 1 2 1
direct
0.000 0.000 0.000
0.500 0.500 0.500
0.500 0.000 0.000
0.000 0.000 0.500
0.000 0.500 0.000
```

Crystal system   tetragonal
E_tot   -5.30 eV/atom
Space-group type   P4/mmm (123)

=====

Entry 17:
This record from the Alexandria database describes AsOsAu2 after structural relaxation. The functional is GGA-PBE.

The structure in POSCAR format:
```
AsOsAu2
1.0
-3.266 -0.143 -3.891
0.274 -2.877 -0.124
-3.434 -3.052 2.995
Au As Os
2 1 1
direct
0.000 0.756 0.003
0.000 0.744 0.497
0.500 0.750 0.750
0.500 0.250 0.250
```

Crystal system   monoclinic
Space-group type   P2/m (10)
ΔE_f   57.4 kJ/mol of atoms

=====

Entry 18:
This record from the Alexandria database describes AsOsAu2 after structural relaxation. The functional is GGA-PBE.

The structure in POSCAR format:
```
AsOsAu2
1.0
6.692 -0.006 0.017
6.071 2.816 0.017
0.693 0.153 3.959
Au Os As
2 1 1
direct
0.062 0.062 0.977
0.438 0.438 0.523
0.750 0.750 0.750
0.250 0.250 0.250
```

Crystal system   monoclinic
Space-group type   C2/m (12)
ΔE_f   37.9 kJ/mol of atoms

=====

Entry 19:
This record from the Alexandria database describes As2OsAu after structural relaxation. The functional is GGA-PBE.

The structure in POSCAR format:
```
As2OsAu
1.0
-2.535 -0.340 1.497
-1.473 -0.278 -2.556
1.211 -8.184 0.194
Os As Au
1 2 1
direct
0.500 0.500 0.750
0.000 0.000 0.555
0.000 0.000 0.945
0.500 0.500 0.250
```

Polymorph energy (0 for the lowest one)   17 meV/atom
Crystal system   tetragonal
Space-group type   P4/mmm (123)
ΔE_f   23.2 kJ/mol of atoms

=====

Entry 20:
This record from the Alexandria database describes AsOsAu2 after structural relaxation. The functional is GGA-PBE.

The structure in POSCAR format:
```
AsOsAu2
1.0
6.428 0.064 -0.007
4.067 4.978 0.007
-4.691 -3.681 2.403
As Os Au
1 1 2
direct
0.309 0.809 0.500
0.481 0.481 0.000
0.014 0.014 0.000
0.696 0.196 0.500
```

Crystal system   orthorhombic
Space-group type   Imm2 (44)
ΔE_f   38.6 kJ/mol of atoms